A geometry-optimized HfNi2Pt2 structure. Source: Alexandria via LeMat-Bulk, functional PBE-GGA.

Values from the calculation:
Energy relative to the elements   -0.486 eV/atom
Symmetry   P4/mbm, No. 127
E above lowest polymorph   0.018 eV per atom

a = 6.571 Å, b = 6.571 Å, c = 3.431 Å
α = 90.00°, β = 90.00°, γ = 90.00°
Fractional coordinates of all 10 atoms:
Hf: 0.000 0.000 0.000
Hf: 0.500 0.500 0.000
Ni: 0.130 0.370 0.000
Ni: 0.370 0.870 0.000
Ni: 0.630 0.130 0.000
Ni: 0.870 0.630 0.000
Pt: 0.165 0.665 0.500
Pt: 0.335 0.165 0.500
Pt: 0.665 0.835 0.500
Pt: 0.835 0.335 0.500